# V2Cr3Re

A geometry-optimized V2Cr3Re structure (PBE, Alexandria).

The space group is I4/mmm (No. 139) and the conventional cell measures 3.236, 3.236 and 16.346 Å, with angles of 90.00, 90.00 and 90.00 degrees. The inequivalent atoms are V at (0.000, 0.000, 0.140), Cr at (0.000, 0.000, 0.000), Cr at (0.000, 0.000, 0.295) and Re at (0.000, 0.000, 0.500).

The calculation puts the excess energy over the best structure of this formula in the dataset at 579 meV/atom. As for the uncorrected energy: -110.01 eV/cell. The total magnetic moment comes out at 0.0 μB/cell.